This record from the Alexandria database describes a geometry-optimized CePrHo3 structure. The functional is PBE.

Summary:
raw total energy: -4.822 eV per atom
offset from the most stable computed form: 0.019 eV per atom
energy of formation from the pure elements: 0.07 eV per atom
space group: P-1

a b c (Å): 6.157 6.195 9.412
angles (deg): 109.03 102.54 99.77
Atoms (fractional coordinates):
1 Ce 0.241 0.192 0.145
2 Ce 0.759 0.808 0.855
3 Pr 0.247 0.798 0.346
4 Pr 0.753 0.202 0.654
5 Ho 0.252 0.599 0.949
6 Ho 0.253 0.995 0.754
7 Ho 0.254 0.403 0.550
8 Ho 0.746 0.597 0.450
9 Ho 0.747 0.005 0.246
10 Ho 0.748 0.401 0.051